Entry from the Alexandria database: TiBe2IF after structural relaxation (PBE).

As for the formation energy without anion corrections: 0.3342 eV/atom. For the spin magnetization, the calculation gives 1.300 μB per formula unit. For the density of states at the Fermi level, the calculation gives 0.709 states/eV/atom. The volume is 14.5 Å³/atom.

Unit cell a=3.938 b=3.938 c=4.685 alpha=90.00 beta=90.00 gamma=90.00
Positions (direct):
Ti1 0.000 0.000 0.000
Be1 0.000 0.500 0.500
Be2 0.500 0.000 0.500
I1 0.500 0.500 0.000
F1 0.000 0.000 0.500

---

Entry from the Alexandria database: TiBeIF2 after structural relaxation (PBE).

As for the formation energy without anion corrections: -1.2683 eV/atom. For the spin magnetization, the calculation gives 1.711 μB per formula unit. For the density of states at the Fermi level, the calculation gives 0.798 states/eV/atom. The volume is 19.7 Å³/atom.

Unit cell a=3.984 b=3.984 c=6.199 alpha=90.00 beta=90.00 gamma=90.00
Positions (direct):
Ti1 0.000 0.000 0.000
Be1 0.500 0.500 0.500
I1 0.000 0.000 0.500
F1 0.000 0.500 0.000
F2 0.500 0.000 0.000

---

Entry from the Alexandria database: ZrBeI2F after structural relaxation (PBE).

As for the formation energy without anion corrections: -0.5300 eV/atom. For the spin magnetization, the calculation gives 0.664 μB per formula unit. For the density of states at the Fermi level, the calculation gives 0.556 states/eV/atom. The volume is 28.6 Å³/atom.

Unit cell a=5.803 b=5.803 c=4.245 alpha=90.00 beta=90.00 gamma=90.00
Positions (direct):
Zr1 0.000 0.000 0.000
Be1 0.500 0.500 0.500
I1 0.000 0.500 0.000
I2 0.500 0.000 0.000
F1 0.000 0.000 0.500